[1]
The following is a DFT calculation (GGA-PBE) of a relaxed structure of BaPW.

Summary:
* crystal system: cubic

Cell: 4.7424 4.7424 4.7424 Å, 60.00 60.00 60.00°
Sites, in units of the cell vectors:
Ba (0.0000, 0.0000, 0.0000)
P (0.7500, 0.7500, 0.7500)
W (0.5000, 0.5000, 0.5000)

---

[2]
The following is a DFT calculation (GGA-PBE) of a relaxed structure of BaP2W.

Summary:
* crystal system: cubic

Cell: 4.8497 4.8497 4.8497 Å, 60.00 60.00 60.00°
Sites, in units of the cell vectors:
Ba (0.0000, 0.0000, 0.0000)
P (0.5000, 0.5000, 0.5000)
P (0.7500, 0.7500, 0.7500)
W (0.2500, 0.2500, 0.2500)

---

[3]
The following is a DFT calculation (GGA-PBE) of a relaxed structure of BaP2W.

Summary:
* crystal system: cubic

Cell: 4.8515 4.8515 4.8515 Å, 60.00 60.00 60.00°
Sites, in units of the cell vectors:
Ba (0.0000, 0.0000, 0.0000)
P (0.2500, 0.2500, 0.2500)
P (0.7500, 0.7500, 0.7500)
W (0.5000, 0.5000, 0.5000)

---

[4]
The following is a DFT calculation (GGA-PBE) of a relaxed structure of BaP2W.

Summary:
* crystal system: trigonal

Cell: 7.4152 7.4152 7.4152 Å, 29.32 29.32 29.32°
Sites, in units of the cell vectors:
Ba (0.0000, 0.0000, 0.0000)
P (0.2280, 0.2280, 0.2280)
P (0.7720, 0.7720, 0.7720)
W (0.5000, 0.5000, 0.5000)

---

[5]
The following is a DFT calculation (GGA-PBE) of a relaxed structure of BaPW2.

Summary:
* crystal system: orthorhombic

Cell: 6.0313 6.0313 6.0313 Å, 151.95 127.76 60.34°
Sites, in units of the cell vectors:
Ba (0.0000, 0.0000, 0.0000)
P (0.5000, 0.5000, 0.0000)
W (0.3031, 0.8031, 0.5000)
W (0.6969, 0.1969, 0.5000)

---

[6]
The following is a DFT calculation (GGA-PBE) of a relaxed structure of BaP4W.

Summary:
* crystal system: cubic

Cell: 5.6297 5.6297 5.6297 Å, 60.00 60.00 60.00°
Sites, in units of the cell vectors:
Ba (0.0000, 0.0000, 0.0000)
P (0.1891, 0.6036, 0.6036)
P (0.6036, 0.1891, 0.6036)
P (0.6036, 0.6036, 0.1891)
P (0.6036, 0.6036, 0.6036)
W (0.2500, 0.2500, 0.2500)

---

[7]
The following is a DFT calculation (GGA-PBE) of a relaxed structure of BaYP2.

Summary:
* crystal system: cubic

Cell: 5.2143 5.2143 5.2143 Å, 60.00 60.00 60.00°
Sites, in units of the cell vectors:
Ba (0.0000, 0.0000, 0.0000)
Y (0.5000, 0.5000, 0.5000)
P (0.2500, 0.2500, 0.2500)
P (0.7500, 0.7500, 0.7500)

---

[8]
The following is a DFT calculation (GGA-PBE) of a relaxed structure of BaYP.

Summary:
* crystal system: trigonal

Cell: 4.1642 4.1642 38.4886 Å, 90.00 90.00 120.00°
Sites, in units of the cell vectors:
Ba (0.3333, 0.6667, 0.3407)
Ba (0.3333, 0.6667, 0.4396)
Ba (0.6667, 0.3333, 0.5604)
Ba (0.6667, 0.3333, 0.6593)
Y (0.3333, 0.6667, 0.7563)
Y (0.3333, 0.6667, 0.8395)
Y (0.6667, 0.3333, 0.1605)
Y (0.6667, 0.3333, 0.2437)
P (0.3333, 0.6667, 0.2005)
P (0.3333, 0.6667, 0.6089)
P (0.6667, 0.3333, 0.3911)
P (0.6667, 0.3333, 0.7995)

---

[9]
The following is a DFT calculation (GGA-PBE) of a relaxed structure of Ba2YP.

Summary:
* crystal system: orthorhombic

Cell: 4.3536 7.2085 7.2085 Å, 43.80 90.00 90.00°
Sites, in units of the cell vectors:
Ba (0.0000, 0.0000, 0.0000)
Ba (0.5000, 0.3092, 0.3092)
Y (0.5000, 0.6189, 0.6189)
P (0.0000, 0.7427, 0.7427)

---

[10]
The following is a DFT calculation (GGA-PBE) of a relaxed structure of Ba2YP.

Summary:
* crystal system: tetragonal

Cell: 6.6517 6.6517 6.6517 Å, 138.07 138.07 60.79°
Sites, in units of the cell vectors:
Ba (0.2500, 0.7500, 0.5000)
Ba (0.7500, 0.2500, 0.5000)
Y (0.0000, 0.0000, 0.0000)
P (0.5000, 0.5000, 0.0000)

---

[11]
The following is a DFT calculation (GGA-PBE) of a relaxed structure of BaYP2.

Summary:
* crystal system: orthorhombic

Cell: 6.0551 4.3166 4.3166 Å, 89.99 90.00 90.00°
Sites, in units of the cell vectors:
Ba (0.0000, 0.0000, 0.0000)
Y (0.5000, 0.4998, 0.4998)
P (0.0000, 0.4999, 0.4999)
P (0.5000, 0.9991, 0.9991)

---

[12]
The following is a DFT calculation (GGA-PBE) of a relaxed structure of Ba2YP.

Summary:
* crystal system: cubic

Cell: 5.6498 5.6498 5.6498 Å, 60.00 60.00 60.00°
Sites, in units of the cell vectors:
Ba (0.0000, 0.0000, 0.0000)
Ba (0.2500, 0.2500, 0.2500)
Y (0.7500, 0.7500, 0.7500)
P (0.5000, 0.5000, 0.5000)

---

no.,calculated formation energy (eV/atom)
1,1.105
2,1.161
3,0.463
4,-0.380
5,0.784
6,0.749
7,-0.727
8,-0.502
9,-0.492
10,-0.026
11,-0.910
12,0.155